Compound: Mg2SeBr
Source: Alexandria via LeMat-Bulk
Functional: PBE-GGA
Structure: relaxed

Cell and atoms, written as extended XYZ:
```
16
Lattice="6.321 0.000 0.000 0.000 6.321 0.000 0.000 0.000 12.538" Properties=species:S:1:pos:R:3 pbc="T T T"
Mg 1.392 1.580 1.567
Mg 1.580 4.552 4.702
Mg 1.580 4.929 10.971
Mg 1.768 1.580 7.836
Mg 4.552 4.741 7.836
Mg 4.741 1.392 10.971
Mg 4.741 1.768 4.702
Mg 4.929 4.741 1.567
Se 0.000 0.000 0.000
Se 0.000 3.160 3.135
Se 3.160 0.000 9.404
Se 3.160 3.160 6.269
Br 0.000 0.000 6.269
Br 0.000 3.160 9.404
Br 3.160 0.000 3.135
Br 3.160 3.160 0.000
```

- Density of states at the Fermi level: 5.75 states/eV per cell
- Crystal system: tetragonal
- Relative energy among the computed polymorphs: 0.30 eV/f.u.
- ρ: 2.75 g/cm³
- Raw formation energy: -0.802 eV/atom